*1*
# Fe2PtW

A geometry-optimized Fe2PtW structure (PBE-GGA, Alexandria).

Lattice parameters (Å, degrees): 4.5930 4.5930 4.5930 130.95 130.95 71.89
Closest atoms and distances in Å follow each position.
Positions (direct):
Fe  0.2500  0.7500  0.5000  4 W 2.66, 4 Pt 2.66, 4 Fe 2.70
Fe  0.7500  0.2500  0.5000  4 W 2.66, 4 Pt 2.66, 4 Fe 2.70
Pt  0.0000  0.0000  0.0000  8 Fe 2.66, 4 W 2.70
W  0.5000  0.5000  0.0000  8 Fe 2.66, 4 Pt 2.70

Summary:
Space-group type ... I4/mmm, No. 139
Total moment ... 3.07 μB per cell

***

*2*
# Fe2PtW

A geometry-optimized Fe2PtW structure (PBE-GGA, Alexandria).

Lattice parameters (Å, degrees): 2.6562 4.3308 4.9483 90.00 96.04 90.00
Closest atoms and distances in Å follow each position.
Positions (direct):
Fe  0.2366  0.0000  0.2346  3 Fe 2.52-2.66, 2 W 2.59, 2 Pt 2.64
Fe  0.7634  0.0000  0.7654  3 Fe 2.52-2.66, 2 W 2.59, 2 Pt 2.64
Pt  0.0000  0.5000  0.5000  4 Fe 2.64, 2 Pt 2.66, 4 W 2.68-2.93
W  0.5000  0.5000  0.0000  4 Fe 2.59, 2 W 2.66, 2 Pt 2.68

Summary:
Space-group type ... P2/m, No. 10
Total moment ... 4.95 μB per cell

***

*3*
# Fe2PtW

A geometry-optimized Fe2PtW structure (PBE-GGA, Alexandria).

Lattice parameters (Å, degrees): 4.2054 4.2054 4.2054 60.00 60.00 60.00
Closest atoms and distances in Å follow each position.
Positions (direct):
Fe  0.2500  0.2500  0.2500  4 W 2.58, 4 Pt 2.58
Fe  0.7500  0.7500  0.7500  4 W 2.58, 4 Pt 2.58
Pt  0.0000  0.0000  0.0000  8 Fe 2.58
W  0.5000  0.5000  0.5000  8 Fe 2.58

Summary:
Space-group type ... Fm-3m, No. 225
Total moment ... 0.00 μB per cell

***

Quick one: most stable of them? *1*

***

*1*
# FePtW2

A geometry-optimized FePtW2 structure (PBE-GGA, Alexandria).

Lattice parameters (Å, degrees): 9.6522 9.6522 9.6522 157.61 157.61 31.87
Closest atoms and distances in Å follow each position.
Positions (direct):
Fe  0.0000  0.0000  0.0000  4 Pt 2.65, 4 W 2.65
Fe  0.7500  0.2500  0.5000  4 Pt 2.65, 4 W 2.65
Pt  0.2500  0.7500  0.5000  4 Fe 2.65, 4 W 2.69
Pt  0.5000  0.5000  0.0000  4 Fe 2.65, 4 W 2.69
W  0.1110  0.6250  0.9860  4 W 2.58-2.73, 2 Fe 2.65, 2 Pt 2.69
W  0.3750  0.3610  0.4860  4 W 2.58-2.73, 2 Fe 2.65, 2 Pt 2.69
W  0.6390  0.1250  0.0140  4 W 2.58-2.73, 2 Fe 2.65, 2 Pt 2.69
W  0.8750  0.8890  0.5140  4 W 2.58-2.73, 2 Fe 2.65, 2 Pt 2.69

Summary:
Space-group type ... I-42d, No. 122
Total moment ... 4.58 μB per cell

***

*2*
# FePtW2

A geometry-optimized FePtW2 structure (PBE-GGA, Alexandria).

Lattice parameters (Å, degrees): 4.7597 4.7597 4.7597 132.26 132.26 69.82
Closest atoms and distances in Å follow each position.
Positions (direct):
Fe  0.0000  0.0000  0.0000  4 Pt 2.72, 8 W 2.74
Pt  0.5000  0.5000  0.0000  4 Fe 2.72, 8 W 2.74
W  0.2500  0.7500  0.5000  4 W 2.72, 4 Fe 2.74, 4 Pt 2.74
W  0.7500  0.2500  0.5000  4 W 2.72, 4 Fe 2.74, 4 Pt 2.74

Summary:
Space-group type ... I4/mmm, No. 139
Total moment ... 0.02 μB per cell

***

*3*
# FePtW2

A geometry-optimized FePtW2 structure (PBE-GGA, Alexandria).

Lattice parameters (Å, degrees): 4.7354 4.7354 4.9075 98.02 98.02 33.21
Closest atoms and distances in Å follow each position.
Positions (direct):
Fe  0.0000  0.0000  0.0000  7 W 2.68-2.82, 2 Fe 2.71, 3 Pt 2.76
Pt  0.2522  0.2522  0.7456  2 Pt 2.71, 7 W 2.72-2.88, 3 Fe 2.76
W  0.5041  0.5041  0.5057  5 W 2.71-2.86, 3 Pt 2.72-2.74, 4 Fe 2.78-2.82
W  0.7481  0.7481  0.2256  3 Fe 2.68-2.72, 5 W 2.71-2.86, 4 Pt 2.72-2.88

Summary:
Space-group type ... Cm, No. 8
Total moment ... 1.96 μB per cell

***

Quick one: most stable of them? *2*

***

*1*
# FePtW2

A geometry-optimized FePtW2 structure (PBE-GGA, Alexandria).

Lattice parameters (Å, degrees): 4.7916 4.7916 2.7227 90.00 90.00 110.95
Closest atoms and distances in Å follow each position.
Positions (direct):
Fe  0.0000  0.0000  0.0000  2 Pt 2.72, 2 Fe 2.72, 8 W 2.76
Pt  0.5000  0.5000  0.0000  2 Fe 2.72, 2 Pt 2.72, 8 W 2.76
W  0.0000  0.5000  0.5000  4 W 2.72, 4 Fe 2.76, 4 Pt 2.76
W  0.5000  0.0000  0.5000  4 W 2.72, 4 Fe 2.76, 4 Pt 2.76

Summary:
Space-group type ... Cmmm, No. 65
Total moment ... 0.56 μB per cell

***

*2*
# FePtW2

A geometry-optimized FePtW2 structure (PBE-GGA, Alexandria).

Lattice parameters (Å, degrees): 4.4081 4.4081 4.4081 60.00 60.00 60.00
Closest atoms and distances in Å follow each position.
Positions (direct):
Fe  0.0000  0.0000  0.0000  8 W 2.70
Pt  0.5000  0.5000  0.5000  8 W 2.70
W  0.2500  0.2500  0.2500  4 Fe 2.70, 4 Pt 2.70
W  0.7500  0.7500  0.7500  4 Fe 2.70, 4 Pt 2.70

Summary:
Space-group type ... Fm-3m, No. 225
Total moment ... 1.94 μB per cell

***

Quick one: most stable of them? *1*

***

*1*
# FePtW2

A geometry-optimized FePtW2 structure (PBE-GGA, Alexandria).

Lattice parameters (Å, degrees): 4.8011 4.8011 4.8567 98.58 98.58 32.88
Closest atoms and distances in Å follow each position.
Positions (direct):
Fe  0.0000  0.0000  0.0000  2 Fe 2.72, 6 W 2.74-2.79, 4 Pt 2.78
Pt  0.5000  0.5000  0.5000  2 Pt 2.72, 6 W 2.78-2.79, 4 Fe 2.78
W  0.2484  0.2484  0.7533  6 W 2.72-2.82, 3 Fe 2.74-2.79, 3 Pt 2.78-2.79
W  0.7516  0.7516  0.2467  6 W 2.72-2.82, 3 Fe 2.74-2.79, 3 Pt 2.78-2.79

Summary:
Space-group type ... C2/m, No. 12
Total moment ... 2.04 μB per cell

***

*2*
# FePtW2

A geometry-optimized FePtW2 structure (PBE-GGA, Alexandria).

Lattice parameters (Å, degrees): 4.7498 4.7498 4.7498 131.38 131.38 71.22
Closest atoms and distances in Å follow each position.
Positions (direct):
Fe  0.0000  0.0000  0.0000  8 W 2.75-2.77, 4 Pt 2.75
Pt  0.7500  0.2500  0.5000  8 W 2.75-2.77, 4 Fe 2.75
W  0.2500  0.7500  0.5000  4 W 2.75, 4 Fe 2.75, 4 Pt 2.77
W  0.5000  0.5000  0.0000  4 W 2.75, 4 Pt 2.75, 4 Fe 2.77

Summary:
Space-group type ... I-4m2, No. 119
Total moment ... 1.33 μB per cell

***

*3*
# FePtW2

A geometry-optimized FePtW2 structure (PBE-GGA, Alexandria).

Lattice parameters (Å, degrees): 9.0917 9.0917 9.0917 17.46 17.46 17.46
Closest atoms and distances in Å follow each position.
Positions (direct):
Fe  0.0000  0.0000  0.0000  6 W 2.64, 6 Fe 2.76
Pt  0.5000  0.5000  0.5000  6 Pt 2.76, 6 W 2.85
W  0.2547  0.2547  0.2547  3 Fe 2.64, 6 W 2.76, 3 Pt 2.85
W  0.7453  0.7453  0.7453  3 Fe 2.64, 6 W 2.76, 3 Pt 2.85

Summary:
Space-group type ... R-3m, No. 166
Total moment ... 0.55 μB per cell

***

*4*
# FePtW2

A geometry-optimized FePtW2 structure (PBE-GGA, Alexandria).

Lattice parameters (Å, degrees): 9.3284 9.3284 9.3284 17.05 17.05 17.05
Closest atoms and distances in Å follow each position.
Positions (direct):
Fe  0.0000  0.0000  0.0000  3 Pt 2.69, 3 W 2.74, 6 Fe 2.76
Pt  0.2549  0.2549  0.2549  3 Fe 2.69, 6 Pt 2.76, 3 W 2.82
W  0.5038  0.5038  0.5038  9 W 2.76-2.94, 3 Pt 2.82
W  0.7476  0.7476  0.7476  3 Fe 2.74, 9 W 2.76-2.94

Summary:
Space-group type ... R3m, No. 160
Total moment ... 2.29 μB per cell

***

Quick one: most stable of them? *2*